Computed, not measured: TmBiSe3 after structural relaxation at the PBE level of DFT.

Properties
Formation energy (no corrections) in eV per atom: -1.11
Distance to the lowest polymorph of the same formula in meV per atom: 0
Density of states at the Fermi level in states/eV/atom: 0.000

abc: 4.1235 7.0956 10.8005
angles: 102.51 90.00 90.00
Atoms (fractional coordinates):
Tm 0.2500 0.7347 0.9824
Tm 0.7500 0.2653 0.0176
Bi 0.2500 0.8618 0.3481
Bi 0.7500 0.1382 0.6519
Se 0.2500 0.0482 0.8586
Se 0.7500 0.9518 0.1414
Se 0.2500 0.4797 0.1558
Se 0.7500 0.5203 0.8442
Se 0.2500 0.2541 0.5047
Se 0.7500 0.7459 0.4953